This record from Alexandria describes Dy2YThBi5 after structural relaxation. The functional is GGA-PBE.

abc: 5.7250 5.7250 11.9281
angles: 90.00 90.00 90.00
Last column: nearest neighbours and their distance in Å.
Space group P4/mmm (No. 123)
Asymmetric unit:
Dy  0.0000  0.0000  0.2328  1 Bi 3.19
Y  0.5000  0.5000  0.5000  2 Bi 2.88
Th  0.5000  0.5000  0.0000  6 Bi 2.86-3.08
Bi  0.0000  0.0000  0.5000  2 Dy 3.19
Bi  0.0000  0.5000  0.0000  2 Th 2.86
Bi  0.5000  0.5000  0.2584  1 Y 2.88, 1 Th 3.08

Computed properties:
energy relative to the elements: 1.9 eV/f.u.
N(E_F): 7.33 states/eV/cell

This record from Alexandria describes MgAlN3 after structural relaxation. The functional is GGA-PBE.

abc: 3.7352 3.7352 3.7352
angles: 90.00 90.00 90.00
Last column: nearest neighbours and their distance in Å.
Space group Pm-3m (No. 221)
Asymmetric unit:
Mg  0.0000  0.0000  0.0000  12 N 2.64
Al  0.5000  0.5000  0.5000  6 N 1.87
N  0.0000  0.5000  0.5000  2 Al 1.87

Computed properties:
ΔE_f (raw): 0.563 eV/atom
N(E_F): 4.07 states/eV/cell

This record from Alexandria describes Ti5Al2Zn after structural relaxation. The functional is GGA-PBE.

abc: 4.0170 4.0170 16.0432
angles: 90.00 90.00 90.00
Last column: nearest neighbours and their distance in Å.
Space group I4/mmm (No. 139)
Asymmetric unit:
Ti  0.0000  0.0000  0.0000  4 Zn 2.84, 8 Ti 2.85
Ti  0.0000  0.5000  0.1261  4 Al 2.82-2.83, 6 Ti 2.84-2.85, 2 Zn 2.85
Al  0.0000  0.0000  0.2494  8 Ti 2.82-2.83, 4 Al 2.84
Zn  0.0000  0.0000  0.5000  12 Ti 2.84-2.85

Computed properties:
energy relative to the elements: -2.1 eV/f.u.
N(E_F): 15.16 states/eV/cell

This record from Alexandria describes NiTe2Cl after structural relaxation. The functional is GGA-PBE.

abc: 12.2296 3.9284 4.8275
angles: 90.00 112.81 90.00
Last column: nearest neighbours and their distance in Å.
Space group Cm (No. 8)
Asymmetric unit:
Ni  0.0000  0.0000  0.0000  1 Cl 2.32, 4 Te 2.50-2.54
Te  0.0423  0.5000  0.7382  2 Ni 2.50
Te  0.3876  0.0000  0.0971  2 Ni 2.54
Cl  0.1824  0.0000  0.3996  1 Ni 2.32

Computed properties:
ΔE_f (raw): -0.232 eV/atom
N(E_F): 5.13 states/eV/cell